Here is a relaxed structure of Li4PmCu2 from the Alexandria database. Energies are from PBE.

Computed properties:
Volume = 18.78 A^3/atom
Fermi-level density of states = 3.2 states/eV per cell
Energy relative to the elements = -0.063 eV per atom
Space group = Cmmm

Lattice parameters (Å, degrees): 3.925 3.921 8.765 102.93 90.00 90.00
Sites, in units of the cell vectors:
Li 0.500 0.821 0.641
Li 0.000 0.678 0.355
Li 0.500 0.179 0.359
Li 0.000 0.322 0.645
Pm 0.000 0.000 0.000
Cu 0.500 0.573 0.147
Cu 0.500 0.427 0.853